Record 1
VASP calculation (PBE-GGA) on an optimized crystal structure of Cu2Ge2Au.

* volume: 161.4 Å³ per cell
* space-group type: No. 127
* crystal system: tetragonal
* calculated formation energy: 126 meV/atom

Unit cell a=6.8587 b=6.8587 c=3.4303 alpha=90.00 beta=90.00 gamma=90.00
Positions (direct):
Cu: 0.3691 0.8691 0.0000
Ge: 0.6674 0.8326 0.5000
Ge: 0.3326 0.1674 0.5000
Ge: 0.8326 0.3326 0.5000
Cu: 0.8691 0.6309 0.0000
Cu: 0.6309 0.1309 0.0000
Au: 0.0000 0.0000 0.0000
Cu: 0.1309 0.3691 0.0000
Ge: 0.1674 0.6674 0.5000
Au: 0.5000 0.5000 0.0000



Record 2
VASP calculation (PBE-GGA) on an optimized crystal structure of CuGe3Au.

* volume: 102.9 Å³ per cell
* space-group type: No. 221
* crystal system: cubic
* calculated formation energy: 470 meV/atom

Unit cell a=4.6863 b=4.6863 c=4.6863 alpha=90.00 beta=90.00 gamma=90.00
Positions (direct):
Au: 0.5000 0.5000 0.5000
Cu: 0.0000 0.0000 0.0000
Ge: 0.0000 0.0000 0.5000
Ge: 0.5000 0.0000 0.0000
Ge: 0.0000 0.5000 0.0000



Record 3
VASP calculation (PBE-GGA) on an optimized crystal structure of Cu6Ge2Au.

* volume: 125.0 Å³ per cell
* space-group type: No. 189
* crystal system: hexagonal
* calculated formation energy: 43 meV/atom

Unit cell a=2.7479 b=7.2474 c=7.2473 alpha=120.03 beta=90.00 gamma=90.00
Positions (direct):
Cu: 0.5000 0.6315 0.0003
Cu: 0.0000 0.9998 0.3168
Cu: 0.0000 0.3168 0.9998
Cu: 0.5000 0.3686 0.3686
Ge: 0.0000 0.3334 0.6666
Au: 0.5000 0.0000 0.0000
Cu: 0.5000 0.0003 0.6315
Cu: 0.0000 0.6830 0.6830
Ge: 0.0000 0.6666 0.3334



> Look up the calculated formation energy of the third one.

43 meV/atom